# 1
Compound: Ba2AgTe
Source: OQMD
Functional: PBE-GGA
Structure: optimized geometry

Total energy = -11.3 eV per formula unit

Unit cell a=5.813 b=5.813 c=5.813 alpha=60.00 beta=60.00 gamma=60.00
Positions (direct):
Ag: 0.500 0.500 0.500
Ba: 0.000 0.000 0.000
Ba: 0.250 0.250 0.250
Te: 0.750 0.750 0.750



# 2
Compound: Ba2AgTe
Source: OQMD
Functional: PBE-GGA
Structure: optimized geometry

Total energy = -13.5 eV per formula unit

Unit cell a=6.835 b=5.178 c=9.076 alpha=90.00 beta=96.72 gamma=90.00
Positions (direct):
Ag: 0.378 0.750 0.468
Ag: 0.622 0.250 0.532
Ba: 0.303 0.250 0.182
Ba: 0.832 0.750 0.330
Ba: 0.168 0.250 0.670
Ba: 0.697 0.750 0.818
Te: 0.777 0.250 0.073
Te: 0.223 0.750 0.927



# 3
Compound: Ba2AgTe
Source: OQMD
Functional: PBE-GGA
Structure: optimized geometry

Total energy = -13.3 eV per formula unit

Unit cell a=5.169 b=8.873 c=6.785 alpha=90.00 beta=90.00 gamma=90.00
Positions (direct):
Ag: 0.000 0.305 0.171
Ag: 0.500 0.695 0.671
Ba: 0.500 0.567 0.160
Ba: 0.500 0.079 0.338
Ba: 0.000 0.433 0.660
Ba: 0.000 0.921 0.838
Te: 0.000 0.808 0.331
Te: 0.500 0.192 0.831



# 4
Compound: Ba2AgTe
Source: OQMD
Functional: PBE-GGA
Structure: optimized geometry

Total energy = -13.3 eV per formula unit

Unit cell a=5.221 b=6.761 c=8.766 alpha=90.00 beta=90.00 gamma=90.00
Positions (direct):
Ag: 0.500 0.069 0.457
Ag: 0.500 0.931 0.957
Ba: 0.000 0.103 0.191
Ba: 0.500 0.604 0.312
Ba: 0.000 0.897 0.691
Ba: 0.500 0.396 0.812
Te: 0.000 0.587 0.040
Te: 0.000 0.413 0.540



# 5
Compound: BaYAgTe3
Source: OQMD
Functional: PBE-GGA
Structure: optimized geometry

Total energy = -28.2 eV per formula unit
Spin magnetization = 0.00 μB per cell

Unit cell a=7.895 b=7.895 c=11.495 alpha=90.00 beta=90.00 gamma=146.73
Positions (direct):
Ag: 0.034 0.966 0.250
Ag: 0.966 0.034 0.750
Ba: 0.745 0.255 0.250
Ba: 0.255 0.745 0.750
Te: 0.139 0.861 0.049
Te: 0.421 0.579 0.250
Te: 0.139 0.861 0.451
Te: 0.861 0.139 0.549
Te: 0.579 0.421 0.750
Te: 0.861 0.139 0.951
Y: 0.500 0.500 0.000
Y: 0.500 0.500 0.500



# 6
Compound: BaYAgTe3
Source: OQMD
Functional: PBE-GGA
Structure: optimized geometry

Total energy = -28.2 eV per formula unit
Spin magnetization = 0.01 μB per cell

Unit cell a=11.498 b=4.523 c=15.099 alpha=90.00 beta=90.00 gamma=90.00
Positions (direct):
Ag: 0.750 0.250 0.218
Ag: 0.250 0.250 0.282
Ag: 0.750 0.750 0.718
Ag: 0.250 0.750 0.782
Ba: 0.750 0.750 0.006
Ba: 0.250 0.750 0.494
Ba: 0.750 0.250 0.506
Ba: 0.250 0.250 0.994
Te: 0.550 0.250 0.111
Te: 0.950 0.250 0.111
Te: 0.250 0.750 0.170
Te: 0.750 0.750 0.330
Te: 0.450 0.250 0.389
Te: 0.050 0.250 0.389
Te: 0.950 0.750 0.611
Te: 0.550 0.750 0.611
Te: 0.250 0.250 0.670
Te: 0.750 0.250 0.830
Te: 0.050 0.750 0.889
Te: 0.450 0.750 0.889
Y: 0.500 0.750 0.250
Y: 0.000 0.750 0.250
Y: 0.000 0.250 0.750
Y: 0.500 0.250 0.750



# 7
Compound: BaYAgTe3
Source: OQMD
Functional: PBE-GGA
Structure: optimized geometry

Total energy = -28.2 eV per formula unit
Spin magnetization = 0.00 μB per cell

Unit cell a=8.771 b=4.507 c=10.678 alpha=90.00 beta=106.42 gamma=90.00
Positions (direct):
Ag: 0.081 0.250 0.093
Ag: 0.919 0.750 0.907
Ba: 0.766 0.750 0.216
Ba: 0.234 0.250 0.784
Te: 0.265 0.750 0.045
Te: 0.560 0.250 0.357
Te: 0.075 0.250 0.358
Te: 0.925 0.750 0.642
Te: 0.440 0.750 0.643
Te: 0.735 0.250 0.955
Y: 0.310 0.750 0.341
Y: 0.690 0.250 0.659



# 8
Compound: BaYAgTe3
Source: OQMD
Functional: PBE-GGA
Structure: optimized geometry

Total energy = -27.9 eV per formula unit
Spin magnetization = 0.00 μB per cell

Unit cell a=10.143 b=10.143 c=9.294 alpha=101.75 beta=101.75 gamma=25.73
Positions (direct):
Ag: 0.467 0.467 0.292
Ag: 0.533 0.533 0.708
Ba: 0.132 0.132 0.073
Ba: 0.868 0.868 0.927
Te: 0.500 0.500 0.000
Te: 0.319 0.319 0.182
Te: 0.674 0.674 0.365
Te: 0.000 0.000 0.500
Te: 0.326 0.326 0.635
Te: 0.681 0.681 0.818
Y: 0.836 0.836 0.415
Y: 0.164 0.164 0.585



# 9
Compound: BaTlAg
Source: OQMD
Functional: PBE-GGA
Structure: optimized geometry

Total energy = -7.2 eV per formula unit

Unit cell a=5.390 b=5.390 c=5.390 alpha=60.00 beta=60.00 gamma=60.00
Positions (direct):
Ag: 0.250 0.250 0.250
Ba: 0.750 0.750 0.750
Tl: 0.000 0.000 0.000



# 10
Compound: Ba2TlAg2
Source: OQMD
Functional: PBE-GGA
Structure: optimized geometry

Total energy = -11.7 eV per formula unit

Unit cell a=5.424 b=5.424 c=7.342 alpha=111.68 beta=111.68 gamma=90.00
Positions (direct):
Ag: 0.605 0.605 0.209
Ag: 0.395 0.395 0.791
Ba: 0.750 0.250 0.500
Ba: 0.250 0.750 0.500
Tl: 0.000 0.000 0.000



# 11
Compound: BaAgW2
Source: OQMD
Functional: PBE-GGA
Structure: optimized geometry

Total energy = -25.3 eV per formula unit
Spin magnetization = 0.61 μB per cell

Unit cell a=4.913 b=4.913 c=4.913 alpha=60.00 beta=60.00 gamma=60.00
Positions (direct):
Ag: 0.500 0.500 0.500
Ba: 0.750 0.750 0.750
W: 0.000 0.000 0.000
W: 0.250 0.250 0.250



# 12
Compound: Ba2ZnAg
Source: OQMD
Functional: PBE-GGA
Structure: optimized geometry

Total energy = -8.0 eV per formula unit

Unit cell a=5.547 b=5.547 c=5.547 alpha=60.00 beta=60.00 gamma=60.00
Positions (direct):
Ag: 0.000 0.000 0.000
Ba: 0.250 0.250 0.250
Ba: 0.500 0.500 0.500
Zn: 0.750 0.750 0.750



# 13
Compound: BaZnAg2
Source: OQMD
Functional: PBE-GGA
Structure: optimized geometry

Total energy = -9.6 eV per formula unit

Unit cell a=4.792 b=6.583 c=6.747 alpha=90.00 beta=90.00 gamma=90.00
Positions (direct):
Ag: 0.000 0.199 0.126
Ag: 0.000 0.888 0.416
Ag: 0.500 0.801 0.626
Ag: 0.500 0.112 0.916
Ba: 0.500 0.608 0.123
Ba: 0.000 0.392 0.623
Zn: 0.500 0.108 0.335
Zn: 0.000 0.892 0.835



# 14
Compound: BaZn2Ag
Source: OQMD
Functional: PBE-GGA
Structure: optimized geometry

Total energy = -7.3 eV per formula unit

Unit cell a=5.239 b=5.239 c=5.239 alpha=60.00 beta=60.00 gamma=60.00
Positions (direct):
Ag: 0.750 0.750 0.750
Ba: 0.000 0.000 0.000
Zn: 0.250 0.250 0.250
Zn: 0.500 0.500 0.500



# 15
Compound: BaZnAg2
Source: OQMD
Functional: PBE-GGA
Structure: optimized geometry

Total energy = -9.3 eV per formula unit

Unit cell a=4.767 b=5.756 c=8.238 alpha=90.00 beta=90.00 gamma=90.00
Positions (direct):
Ag: 0.500 0.215 0.021
Ag: 0.000 0.020 0.431
Ag: 0.500 0.785 0.521
Ag: 0.000 0.980 0.931
Ba: 0.000 0.561 0.195
Ba: 0.000 0.439 0.695
Zn: 0.500 0.196 0.354
Zn: 0.500 0.804 0.854



# 16
Compound: Ba3ZnAg4
Source: OQMD
Functional: PBE-GGA
Structure: optimized geometry

Total energy = -19.7 eV per formula unit

Unit cell a=6.510 b=4.853 c=8.081 alpha=90.00 beta=98.83 gamma=90.00
Positions (direct):
Ag: 0.180 0.500 0.081
Ag: 0.539 0.000 0.444
Ag: 0.293 0.500 0.454
Ag: 0.930 0.000 0.996
Ba: 0.716 0.500 0.205
Ba: 0.856 0.500 0.676
Ba: 0.366 0.000 0.811
Zn: 0.120 0.000 0.334



# 17
Compound: Ba2ZnAg
Source: OQMD
Functional: PBE-GGA
Structure: optimized geometry

Total energy = -8.8 eV per formula unit

Unit cell a=4.993 b=6.647 c=6.647 alpha=41.30 beta=90.00 gamma=90.00
Positions (direct):
Ag: 0.000 0.061 0.061
Ba: 0.000 0.359 0.359
Ba: 0.500 0.642 0.642
Zn: 0.500 0.938 0.938



# 18
Compound: BaZrAg
Source: OQMD
Functional: PBE-GGA
Structure: optimized geometry

Offset from the most stable computed form = 389 meV per atom
Spin magnetization = 0.04 μB per cell

Unit cell a=5.075 b=5.075 c=5.075 alpha=60.00 beta=60.00 gamma=60.00
Positions (direct):
Ag: 0.250 0.250 0.250
Ba: 0.000 0.000 0.000
Zr: 0.750 0.750 0.750



# 19
Compound: BeAg2
Source: OQMD
Functional: PBE-GGA
Structure: optimized geometry

Total energy = -8.5 eV per formula unit

Unit cell a=4.028 b=4.028 c=4.028 alpha=60.00 beta=60.00 gamma=60.00
Positions (direct):
Ag: 0.250 0.250 0.250
Ag: 0.750 0.750 0.750
Be: 0.000 0.000 0.000



# 20
Compound: BeAg2
Source: OQMD
Functional: PBE-GGA
Structure: optimized geometry

Total energy = -7.2 eV per formula unit

Unit cell a=5.304 b=5.304 c=5.304 alpha=60.00 beta=60.00 gamma=60.00
Positions (direct):
Ag: 0.625 0.625 0.125
Ag: 0.625 0.125 0.625
Ag: 0.125 0.625 0.625
Ag: 0.625 0.625 0.625
Be: 0.000 0.000 0.000
Be: 0.250 0.250 0.250



Number 1: V 34.7 Å³/atom. Number 2: V 39.9 Å³/atom. Number 3: V 38.9 Å³/atom. Number 4: V 38.7 Å³/atom. Number 5: V 32.8 Å³/atom. Number 6: V 32.7 Å³/atom. Number 7: V 33.7 Å³/atom. Number 8: V 33.8 Å³/atom. Number 9: V 36.9 Å³/atom. Number 10: V 36.8 Å³/atom. Number 11: V 21.0 Å³/atom. Number 12: V 30.2 Å³/atom. Number 13: V 26.6 Å³/atom. Number 14: V 25.4 Å³/atom. Number 15: V 28.3 Å³/atom. Number 16: V 31.5 Å³/atom. Number 17: V 36.4 Å³/atom. Number 18: V 30.8 Å³/atom. Number 19: V 15.4 Å³/atom. Number 20: V 17.6 Å³/atom.